ZnGa2Pt2 (PBE-GGA, optimized geometry); relative energy among the computed polymorphs = 114 meV/atom; volume = 15.752 Å³/atom; formation energy = -475 meV per atom
1.0
2.1075 -7.0785 0.0000
2.1075 7.0785 0.0000
0.0000 0.0000 5.2797
Zn Ga Pt
2 4 4
direct
0.1316 0.8684 0.5000 Zn
0.8684 0.1316 0.0000 Zn
0.3309 0.6691 0.6371 Ga
0.4522 0.5478 0.2239 Ga
0.5478 0.4522 0.7239 Ga
0.6691 0.3309 0.1371 Ga
0.0531 0.9469 0.0493 Pt
0.2712 0.7288 0.1214 Pt
0.7288 0.2712 0.6214 Pt
0.9469 0.0531 0.5493 Pt